No. 1
Here is a relaxed Ca2TlVBr8 crystal from Alexandria via LeMat-Bulk. Energies are from PBE-GGA.

ΔE_f (raw)	-1.37	eV per atom

The structure in extended XYZ format:
```
12
Lattice="-1.5364 -5.0600 -4.3673 4.8300 -3.6396 2.3375 -5.5482 -3.5074 6.0130" Properties=species:S:1:pos:R:3 pbc="T T T"
Ca -2.5492 -7.0021 3.5318
Ca 0.2945 -5.2050 0.4513
Tl -2.7741 -1.7537 3.0065
V 0.0000 0.0000 0.0000
Br 2.3699 -4.2757 2.3531
Br -2.9416 -9.7247 4.7945
Br -1.3142 -5.8356 -1.9579
Br -4.6246 -7.9314 1.6300
Br 0.6869 -2.4824 -0.8114
Br -0.9405 -6.3715 5.9410
Br -0.2038 -7.5860 1.9792
Br -2.0509 -4.6211 2.0039
```

---

No. 2
Here is a relaxed CaYTlBr6 crystal from Alexandria via LeMat-Bulk. Energies are from PBE-GGA.

ΔE_f (raw)	-1.72	eV per atom

The structure in extended XYZ format:
```
18
Lattice="-1.8171 0.2784 -7.2271 -5.1951 -1.6470 5.0901 -3.1353 13.9913 1.3273" Properties=species:S:1:pos:R:3 pbc="T T T"
Ca -4.8529 2.4926 1.3162
Ca -5.2945 10.1301 -2.1259
Y -3.7269 3.1344 -2.7896
Y -6.4205 9.4882 1.9798
Tl 0.0000 0.0000 0.0000
Tl -1.5676 6.9956 0.6637
Br -4.8326 1.0632 -1.2250
Br -4.1244 1.5912 -5.1179
Br -7.8047 7.3826 3.2491
Br -6.0231 11.0314 4.3081
Br -3.7143 4.5825 -0.3682
Br -6.1867 4.3248 -3.4916
Br -8.9868 10.6179 1.6661
Br -2.3428 5.2400 -4.0589
Br -3.9608 8.2978 2.6819
Br -1.1606 2.0047 -2.4759
Br -6.4331 8.0401 -0.4416
Br -5.3148 11.5595 0.4153
```